Density functional theory data (PBE) for NpSn2Rh after structural relaxation.

Lattice parameters (Å, degrees): 3.309 3.309 7.719 90.00 90.00 90.00
Space group P4/mmm (No. 123)
Inequivalent atoms, fractional coordinates:
Np 0.000 0.000 0.000 (multiplicity 1)
Sn 0.500 0.500 0.293 (multiplicity 2)
Rh 0.000 0.000 0.500 (multiplicity 1)

Values from the calculation:
Calculated formation energy ... -228 meV/atom
Density ... 11344 kg/m³
VASP energy ... -7.303 eV per atom
DOS(E_F) ... 6.82 states/eV/f.u.